Compound: Sc8Cu
Source: Alexandria via LeMat-Bulk
Functional: PBE
Structure: optimized geometry

Output
* total magnetic moment: 0.00 μB per atom
* formation energy: 0.071 eV per atom
* density of states at the Fermi level: 18.71 states/eV/cell
* electronic total energy: -54.11 eV/f.u.

Unit cell a=7.1275 b=7.1275 c=7.1275 alpha=95.73 beta=95.73 gamma=143.17
With the nearest neighbours (Å) after each atom.
Element x y z (fractional)
Sc 0.3384 0.3384 0.6768  10 Sc 3.09-3.28, 2 Cu 3.14
Sc 0.6616 0.6616 0.3232  10 Sc 3.09-3.28, 2 Cu 3.14
Sc 0.6713 0.0000 0.6713  1 Cu 3.14, 11 Sc 3.16-3.28
Sc 0.3384 0.6616 0.0000  10 Sc 3.09-3.28, 2 Cu 3.14
Sc 0.0000 0.3287 0.3287  1 Cu 3.14, 11 Sc 3.16-3.28
Sc 0.6616 0.3384 0.0000  10 Sc 3.09-3.28, 2 Cu 3.14
Sc 0.3287 0.0000 0.3287  1 Cu 3.14, 11 Sc 3.16-3.28
Sc 0.0000 0.6713 0.6713  1 Cu 3.14, 11 Sc 3.16-3.28
Cu 0.0000 0.0000 0.0000  12 Sc 3.14